# 1
PdPt2I6 after structural relaxation, computed with PBE.

Results
DOS(E_F) ... 14.4 states/eV/cell
Formation energy from raw total energies ... 0.36 eV/f.u.
Magnetization ... 0.0009 μB/atom

a b c (Å): 6.1897 7.1441 7.1441
angles (deg): 120.00 90.00 90.00
Sites, in units of the cell vectors:
Pd 0.5000 0.0000 0.0000
Pt 0.5000 0.3333 0.6667
Pt 0.5000 0.6667 0.3333
I 0.2548 0.6582 0.0000
I 0.2548 0.3418 0.3418
I 0.2548 0.0000 0.6582
I 0.7452 0.3418 0.0000
I 0.7452 0.6582 0.6582
I 0.7452 0.0000 0.3418



# 2
MgTl2Sn after structural relaxation, computed with PBE.

Results
E_form ... 0.021 eV/atom
DOS(E_F) ... 2.1 states/eV/cell
Magnetization ... 0.0000 μB/atom

a b c (Å): 3.4728 3.4728 8.9630
angles (deg): 90.00 90.00 90.00
Sites, in units of the cell vectors:
Mg 0.5000 0.5000 0.0000
Tl 0.0000 0.0000 0.7640
Tl 0.0000 0.0000 0.2360
Sn 0.5000 0.5000 0.5000